# TaMo (GGA-PBE, optimized geometry)
# Calculated density in g/cm3: 13.255
# Size of the total moment in μB/atom: 0.00
# Raw total energy in eV/atom: -11.18
# DFT formation energy in meV/atom: 162
data_TaMo
_symmetry_space_group_name_H-M 'P m m n'
_symmetry_Int_Tables_number 59
_cell_length_a 2.724
_cell_length_b 4.712
_cell_length_c 5.404
_cell_angle_alpha 90.00
_cell_angle_beta 90.00
_cell_angle_gamma 90.00
loop_
_symmetry_equiv_pos_as_xyz
'x,y,z'
'-x,-y,-z'
'-x+1/2,-y+1/2,z'
'x+1/2,y+1/2,-z'
'x+1/2,-y,-z'
'-x+1/2,y,z'
'-x,y+1/2,-z'
'x,-y+1/2,z'
loop_
_atom_site_label
_atom_site_fract_x
_atom_site_fract_y
_atom_site_fract_z
Ta1 0.250 0.250 0.128
Mo1 0.250 0.250 0.629